# ReCS

A geometry-optimized ReCS structure (PBE, Alexandria).

Properties
The calculation puts the excess energy over the best structure of this formula in the dataset at 103 meV per atom. The volume comes out at 92.7 Å³ per cell. The calculation puts the energy at -49.3 eV/cell. The calculation puts the density at 8.252 g cm⁻³. Its space group is Cm (8). As for the density of states at the Fermi level: 3.09 states/eV/cell.

a b c (Å): 6.384 6.384 5.659
angles (deg): 114.19 114.19 26.29
Element x y z (fractional)
Re (0.000, 0.000, 0.000)
Re (0.658, 0.658, 0.766)
C (0.266, 0.266, 0.715)
C (0.384, 0.384, 0.780)
S (0.204, 0.204, 0.117)
S (0.504, 0.504, 0.332)

# ReCS3

A geometry-optimized ReCS3 structure (PBE, Alexandria).

Properties
The calculation puts the excess energy over the best structure of this formula in the dataset at 0 meV per atom. The volume comes out at 62.4 Å³ per cell. The calculation puts the energy at -26.8 eV/cell. The calculation puts the density at 7.832 g cm⁻³. Its space group is Pm-3m (221). As for the density of states at the Fermi level: 1.73 states/eV/cell.

a b c (Å): 3.967 3.967 3.967
angles (deg): 90.00 90.00 90.00
Element x y z (fractional)
Re (0.000, 0.000, 0.000)
C (0.500, 0.500, 0.500)
S (0.000, 0.500, 0.500)
S (0.500, 0.000, 0.500)
S (0.500, 0.500, 0.000)

- Which formula does entry 1 have?
  ReCS